Record 1
Compound: ErAgPO
Source: OQMD via LeMat-Bulk
Functional: PBE
Structure: relaxed

Unit cell a=4.1024 b=6.2087 c=5.5307 alpha=90.00 beta=90.00 gamma=90.00
Sites, in units of the cell vectors:
Ag (0.0000, 0.3440, 0.5329)
Ag (0.0000, 0.6560, 0.0329)
O (0.5000, 0.5318, 0.8570)
O (0.5000, 0.4682, 0.3570)
P (0.0000, 0.0166, 0.8011)
P (0.0000, 0.9834, 0.3011)
Er (0.5000, 0.7562, 0.5629)
Er (0.5000, 0.2438, 0.0629)

Properties
SG: Pmc2_1
Energy above the most stable polymorph in this dataset (meV/atom): 317

---

Record 2
Compound: ErAgPO
Source: OQMD via LeMat-Bulk
Functional: PBE
Structure: relaxed

Unit cell a=3.9259 b=3.9259 c=8.7517 alpha=90.00 beta=90.00 gamma=90.00
Sites, in units of the cell vectors:
O (0.5000, 0.5000, 0.0000)
O (0.0000, 0.0000, 0.0000)
Er (0.5000, 0.0000, 0.8787)
Er (0.0000, 0.5000, 0.1213)
P (0.5000, 0.0000, 0.3072)
P (0.0000, 0.5000, 0.6928)
Ag (0.0000, 0.0000, 0.5000)
Ag (0.5000, 0.5000, 0.5000)

Properties
SG: P4/nmm
Energy above the most stable polymorph in this dataset (meV/atom): 0

---

Record 3
Compound: ErAgPO
Source: OQMD via LeMat-Bulk
Functional: PBE
Structure: relaxed

Unit cell a=3.6747 b=7.5997 c=5.7802 alpha=90.00 beta=90.00 gamma=90.00
Sites, in units of the cell vectors:
P (0.0000, 0.3401, 0.4383)
P (0.0000, 0.6599, 0.9383)
Er (0.0000, 0.2946, 0.9384)
Er (0.0000, 0.7054, 0.4385)
O (0.5000, 0.1637, 0.9378)
O (0.5000, 0.8363, 0.4378)
Ag (0.5000, 0.8680, 0.9395)
Ag (0.5000, 0.1320, 0.4395)

Properties
SG: Pmc2_1
Energy above the most stable polymorph in this dataset (meV/atom): 316

---

Record 4
Compound: ErAgPbO3
Source: OQMD via LeMat-Bulk
Functional: PBE
Structure: relaxed

Unit cell a=3.2208 b=7.4971 c=8.4788 alpha=90.00 beta=79.05 gamma=90.00
Sites, in units of the cell vectors:
O (0.1237, 0.9303, 0.7527)
O (0.8763, 0.0697, 0.2473)
O (0.8763, 0.4303, 0.2473)
O (0.2701, 0.7500, 0.4599)
O (0.7299, 0.2500, 0.5401)
O (0.1237, 0.5697, 0.7527)
Er (0.0000, 0.5000, 0.0000)
Er (0.0000, 0.0000, 0.0000)
Ag (0.4005, 0.7500, 0.1990)
Ag (0.5995, 0.2500, 0.8010)
Pb (0.6824, 0.7500, 0.6353)
Pb (0.3176, 0.2500, 0.3647)

Properties
SG: Cmcm
Energy (eV for the cell shown): -62.94

---

Record 5
Compound: ErAgSO
Source: OQMD via LeMat-Bulk
Functional: PBE
Structure: relaxed

Unit cell a=7.6273 b=7.7374 c=5.4482 alpha=90.00 beta=90.00 gamma=90.00
Sites, in units of the cell vectors:
O (0.5779, 0.9066, 0.0683)
O (0.4221, 0.0934, 0.5683)
O (0.9221, 0.9066, 0.5683)
O (0.0779, 0.0934, 0.0683)
Er (0.4483, 0.6838, 0.0615)
Er (0.5517, 0.3162, 0.5615)
Er (0.0517, 0.6838, 0.5615)
Er (0.9483, 0.3162, 0.0615)
S (0.5943, 0.3659, 0.0618)
S (0.4057, 0.6341, 0.5618)
S (0.0943, 0.6341, 0.0618)
S (0.9057, 0.3659, 0.5618)
Ag (0.1341, 0.1259, 0.5584)
Ag (0.3659, 0.1259, 0.0584)
Ag (0.6341, 0.8741, 0.5584)
Ag (0.8659, 0.8741, 0.0584)

Properties
SG: Pca2_1
Energy (eV for the cell shown): -89.42

---

Record 6
Compound: ErAgSO
Source: OQMD via LeMat-Bulk
Functional: PBE
Structure: relaxed

Unit cell a=5.5966 b=5.5964 c=10.7349 alpha=90.00 beta=91.59 gamma=90.00
Sites, in units of the cell vectors:
Ag (0.6867, 0.5941, 0.4971)
Ag (0.9994, 0.3396, 0.2950)
Ag (0.0006, 0.8396, 0.7050)
Ag (0.3133, 0.0941, 0.5029)
S (0.3005, 0.1327, 0.7221)
S (0.6995, 0.6327, 0.2779)
S (0.2968, 0.0459, 0.2835)
S (0.7032, 0.5459, 0.7165)
O (0.2503, 0.5717, 0.9998)
O (0.7527, 0.5709, 0.9994)
O (0.7497, 0.0717, 0.0002)
O (0.2473, 0.0709, 0.0006)
Er (0.5038, 0.3222, 0.0974)
Er (0.9952, 0.3228, 0.9016)
Er (0.0048, 0.8228, 0.0984)
Er (0.4962, 0.8222, 0.9026)

Properties
SG: P2_1
Energy (eV for the cell shown): -96.97

---

Record 7
Compound: ErAgSO
Source: OQMD via LeMat-Bulk
Functional: PBE
Structure: relaxed

Unit cell a=4.1654 b=6.5636 c=6.2594 alpha=90.00 beta=90.00 gamma=90.00
Sites, in units of the cell vectors:
Ag (0.0000, 0.2803, 0.0866)
Ag (0.0000, 0.7197, 0.5866)
S (0.0000, 0.3446, 0.6877)
S (0.0000, 0.6554, 0.1877)
O (0.5000, 0.8896, 0.6929)
O (0.5000, 0.1104, 0.1929)
Er (0.5000, 0.8363, 0.0239)
Er (0.5000, 0.1637, 0.5239)

Properties
SG: Pmc2_1
Energy (eV for the cell shown): -46.16

---

Record 8
Compound: ErAgSO
Source: OQMD via LeMat-Bulk
Functional: PBE
Structure: relaxed

Unit cell a=6.3668 b=7.1862 c=6.2729 alpha=90.00 beta=101.54 gamma=90.00
Sites, in units of the cell vectors:
Er (0.4400, 0.3768, 0.7661)
Er (0.5600, 0.8768, 0.7339)
Er (0.5600, 0.6232, 0.2339)
Er (0.4400, 0.1232, 0.2661)
Ag (0.9494, 0.2979, 0.9963)
Ag (0.9494, 0.2021, 0.4963)
Ag (0.0506, 0.7979, 0.5037)
Ag (0.0506, 0.7021, 0.0037)
S (0.1999, 0.4317, 0.3401)
S (0.1999, 0.0683, 0.8401)
S (0.8001, 0.5683, 0.6599)
S (0.8001, 0.9317, 0.1599)
O (0.5929, 0.1602, 0.6033)
O (0.5929, 0.3398, 0.1033)
O (0.4071, 0.6602, 0.8967)
O (0.4071, 0.8398, 0.3967)

Properties
SG: P2_1/c
Energy (eV for the cell shown): -94.89

---

> What is the formula in the eighth record?

ErAgSO